(1)
A plane-wave DFT calculation with PBE was carried out for RbTbZnF6 after structural relaxation. Values from VASP.

The space group is Imma, No. 74. The formation energy (no corrections) comes out at -73.77 kcal/mol of atoms. Its density of states at the Fermi level is 0.00 states/eV/f.u.

Quantum ESPRESSO input file:
```
&SYSTEM
  ibrav = 0, nat = 18, ntyp = 4
/
ATOMIC_SPECIES
Zn 65.41 Zn.upf
F 19.00 F.upf
Rb 85.47 Rb.upf
Tb 158.93 Tb.upf
CELL_PARAMETERS angstrom
-0.755 -6.361 -4.215
4.343 2.913 -5.175
2.362 -0.319 7.033
ATOMIC_POSITIONS crystal
Zn 0.500 0.500 0.000
F 0.170 0.853 0.732
Zn 0.500 0.000 0.000
F 0.562 0.379 0.732
F 0.861 0.111 0.722
F 0.405 0.155 0.811
F 0.170 0.379 0.732
F 0.139 0.889 0.278
F 0.562 0.853 0.732
F 0.438 0.147 0.268
F 0.830 0.147 0.268
Rb 0.158 0.408 0.316
Tb 0.000 0.000 0.500
F 0.595 0.845 0.189
Rb 0.842 0.592 0.684
F 0.830 0.621 0.268
F 0.438 0.621 0.268
Tb 0.500 0.000 0.500
```

(2)
A plane-wave DFT calculation with PBE was carried out for Mg3ZrAg after structural relaxation. Values from VASP.

The space group is Pm-3m, No. 221. Its formation energy is 416 meV per atom. The calculation puts the polymorph energy (0 for the lowest one) at 0.0 kJ per mole of atoms. Its density of states at the Fermi level is 4.31 states/eV/f.u.

Quantum ESPRESSO input file:
```
&SYSTEM
  ibrav = 0, nat = 5, ntyp = 3
/
ATOMIC_SPECIES
Mg 24.30 Mg.upf
Zr 91.22 Zr.upf
Ag 107.87 Ag.upf
CELL_PARAMETERS angstrom
4.940 0.000 0.000
0.000 4.940 0.000
0.000 0.000 4.940
ATOMIC_POSITIONS crystal
Mg 0.000 0.500 0.000
Zr 0.500 0.500 0.500
Ag 0.000 0.000 0.000
Mg 0.500 0.000 0.000
Mg 0.000 0.000 0.500
```

(3)
A plane-wave DFT calculation with PBE was carried out for La2CuW after structural relaxation. Values from VASP.

The space group is R3m, No. 160. Its formation energy is 697 meV per atom. The calculation puts the polymorph energy (0 for the lowest one) at 32.8 kJ per mole of atoms. Its density of states at the Fermi level is 3.74 states/eV/f.u.

Quantum ESPRESSO input file:
```
&SYSTEM
  ibrav = 0, nat = 4, ntyp = 3
/
ATOMIC_SPECIES
La 138.91 La.upf
Cu 63.55 Cu.upf
W 183.84 W.upf
CELL_PARAMETERS angstrom
-4.481 3.838 7.719
-2.222 1.823 9.281
-1.305 4.942 8.263
ATOMIC_POSITIONS crystal
La 0.013 0.013 0.013
La 0.237 0.237 0.237
Cu 0.763 0.763 0.763
W 0.487 0.487 0.487
```

(4)
A plane-wave DFT calculation with PBE was carried out for CdFe2Au after structural relaxation. Values from VASP.

The space group is Cmm2, No. 35. Its formation energy is 175 meV per atom. Its density of states at the Fermi level is 2.64 states/eV/f.u.

Quantum ESPRESSO input file:
```
&SYSTEM
  ibrav = 0, nat = 4, ntyp = 3
/
ATOMIC_SPECIES
Au 196.97 Au.upf
Fe 55.84 Fe.upf
Cd 112.41 Cd.upf
CELL_PARAMETERS angstrom
-2.470 1.316 -0.017
-0.764 -2.662 -0.399
-0.613 -1.046 8.158
ATOMIC_POSITIONS crystal
Au 0.000 0.000 0.475
Fe 0.000 0.000 0.030
Fe 0.500 0.500 0.226
Cd 0.500 0.500 0.769
```

(5)
A plane-wave DFT calculation with PBE was carried out for Zn2IrRu after structural relaxation. Values from VASP.

The space group is Cmmm, No. 65. Its formation energy is 32 meV per atom. The calculation puts the polymorph energy (0 for the lowest one) at 9.3 kJ per mole of atoms. Its density of states at the Fermi level is 3.19 states/eV/f.u.

Quantum ESPRESSO input file:
```
&SYSTEM
  ibrav = 0, nat = 4, ntyp = 3
/
ATOMIC_SPECIES
Ru 101.07 Ru.upf
Zn 65.41 Zn.upf
Ir 192.22 Ir.upf
CELL_PARAMETERS angstrom
2.722 0.010 0.000
-1.210 2.438 0.000
0.000 0.000 8.623
ATOMIC_POSITIONS crystal
Ru 0.500 0.500 0.750
Zn 0.000 0.000 0.501
Ir 0.500 0.500 0.250
Zn 0.000 0.000 0.999
```

(6)
A plane-wave DFT calculation with PBE was carried out for ScTl3Co after structural relaxation. Values from VASP.

The space group is Pm-3m, No. 221. Its formation energy is 1346 meV per atom. The calculation puts the polymorph energy (0 for the lowest one) at 96.0 kJ per mole of atoms. Its density of states at the Fermi level is 12.10 states/eV/f.u.

Quantum ESPRESSO input file:
```
&SYSTEM
  ibrav = 0, nat = 5, ntyp = 3
/
ATOMIC_SPECIES
Sc 44.96 Sc.upf
Tl 204.38 Tl.upf
Co 58.93 Co.upf
CELL_PARAMETERS angstrom
-2.845 -1.161 4.231
-3.339 -2.699 -2.985
2.847 -4.326 0.726
ATOMIC_POSITIONS crystal
Sc 0.000 0.000 0.000
Tl 0.000 0.500 0.000
Tl 0.000 0.000 0.500
Co 0.500 0.500 0.500
Tl 0.500 0.000 0.000
```

(7)
A plane-wave DFT calculation with PBE was carried out for HfCuRhPb2 after structural relaxation. Values from VASP.

The space group is P4/mmm, No. 123. Its formation energy is 554 meV per atom. The calculation puts the polymorph energy (0 for the lowest one) at 0.0 kJ per mole of atoms. Its density of states at the Fermi level is 4.23 states/eV/f.u.

Quantum ESPRESSO input file:
```
&SYSTEM
  ibrav = 0, nat = 5, ntyp = 4
/
ATOMIC_SPECIES
Pb 207.20 Pb.upf
Cu 63.55 Cu.upf
Hf 178.49 Hf.upf
Rh 102.91 Rh.upf
CELL_PARAMETERS angstrom
-0.155 4.666 2.349
-4.721 -0.806 1.291
1.596 -2.195 4.466
ATOMIC_POSITIONS crystal
Pb 0.000 0.000 0.500
Cu 0.500 0.500 0.500
Hf 0.000 0.500 0.000
Rh 0.000 0.000 0.000
Pb 0.500 0.000 0.000
```

(8)
A plane-wave DFT calculation with PBE was carried out for GaAsP2N after structural relaxation. Values from VASP.

The space group is P4/mmm, No. 123. The formation energy (no corrections) comes out at 17.99 kcal/mol of atoms. Its density of states at the Fermi level is 2.15 states/eV/f.u.

Quantum ESPRESSO input file:
```
&SYSTEM
  ibrav = 0, nat = 5, ntyp = 4
/
ATOMIC_SPECIES
As 74.92 As.upf
P 30.97 P.upf
Ga 69.72 Ga.upf
N 14.01 N.upf
CELL_PARAMETERS angstrom
4.301 0.000 0.000
0.000 4.081 0.000
0.000 0.000 4.301
ATOMIC_POSITIONS crystal
As 0.500 0.500 0.500
P 0.000 0.000 0.500
Ga 0.000 0.500 0.000
P 0.500 0.000 0.000
N 0.000 0.000 0.000
```

(9)
A plane-wave DFT calculation with PBE was carried out for Tl2CuSeO4 after structural relaxation. Values from VASP.

The space group is Fddd, No. 70. The formation energy (no corrections) comes out at -9.82 kcal/mol of atoms. Its density of states at the Fermi level is 2.04 states/eV/f.u.

Quantum ESPRESSO input file:
```
&SYSTEM
  ibrav = 0, nat = 16, ntyp = 4
/
ATOMIC_SPECIES
O 16.00 O.upf
Tl 204.38 Tl.upf
Cu 63.55 Cu.upf
Se 78.96 Se.upf
CELL_PARAMETERS angstrom
-2.341 -4.440 2.399
3.993 -4.479 2.058
-0.644 2.507 10.463
ATOMIC_POSITIONS crystal
O 0.562 0.170 0.088
Tl 0.850 0.000 0.300
O 0.481 0.330 0.588
Tl 0.900 0.500 0.200
O 0.931 0.670 0.588
O 0.188 0.330 0.412
O 0.400 0.670 0.412
Tl 0.600 0.500 0.800
O 0.269 0.170 0.912
Cu 0.000 0.000 0.000
Se 0.500 0.000 0.000
Cu 0.750 0.500 0.500
O 0.350 0.830 0.088
Se 0.250 0.500 0.500
O 0.819 0.830 0.912
Tl 0.150 0.000 0.700
```

(10)
A plane-wave DFT calculation with PBE was carried out for VHg2Pt after structural relaxation. Values from VASP.

The space group is Fm-3m, No. 225. Its formation energy is 212 meV per atom. The calculation puts the polymorph energy (0 for the lowest one) at 0.0 kJ per mole of atoms. Its density of states at the Fermi level is 5.41 states/eV/f.u.

Quantum ESPRESSO input file:
```
&SYSTEM
  ibrav = 0, nat = 4, ntyp = 3
/
ATOMIC_SPECIES
Hg 200.59 Hg.upf
Pt 195.08 Pt.upf
V 50.94 V.upf
CELL_PARAMETERS angstrom
0.000 3.322 3.322
3.322 0.000 3.322
3.322 3.322 0.000
ATOMIC_POSITIONS crystal
Hg 0.750 0.750 0.750
Hg 0.250 0.250 0.250
Pt 0.500 0.500 0.500
V 0.000 0.000 0.000
```

(11)
A plane-wave DFT calculation with PBE was carried out for Cs2KLiAs after structural relaxation. Values from VASP.

The space group is P4/mmm, No. 123. Its formation energy is -153 meV per atom. Its density of states at the Fermi level is 3.83 states/eV/f.u.

Quantum ESPRESSO input file:
```
&SYSTEM
  ibrav = 0, nat = 5, ntyp = 4
/
ATOMIC_SPECIES
As 74.92 As.upf
Cs 132.91 Cs.upf
Li 6.94 Li.upf
K 39.10 K.upf
CELL_PARAMETERS angstrom
-5.944 -2.875 -3.393
3.882 -6.118 -1.617
-1.462 -2.068 4.314
ATOMIC_POSITIONS crystal
As 0.000 0.000 0.000
Cs 0.000 0.500 0.000
Cs 0.500 0.000 0.000
Li 0.000 0.000 0.500
K 0.500 0.500 0.500
```

(12)
A plane-wave DFT calculation with PBE was carried out for Ge2N2O after structural relaxation. Values from VASP.

The space group is Pc, No. 7. The formation energy (no corrections) comes out at -10.14 kcal/mol of atoms. Its density of states at the Fermi level is 0.00 states/eV/f.u.

Quantum ESPRESSO input file:
```
&SYSTEM
  ibrav = 0, nat = 20, ntyp = 3
/
ATOMIC_SPECIES
O 16.00 O.upf
Ge 72.64 Ge.upf
N 14.01 N.upf
CELL_PARAMETERS angstrom
-0.664 3.979 7.362
-5.038 -1.725 0.478
-0.640 -5.194 2.750
ATOMIC_POSITIONS crystal
O 0.790 0.194 0.337
Ge 0.199 0.947 0.705
N 0.287 0.719 0.248
Ge 0.715 0.094 0.653
N 0.539 0.322 0.607
Ge 0.904 0.542 0.743
N 0.461 0.322 0.107
N 0.713 0.719 0.748
Ge 0.285 0.094 0.153
O 0.389 0.820 0.655
O 0.210 0.194 0.837
Ge 0.096 0.542 0.243
N 0.939 0.661 0.397
N 0.850 0.169 0.870
Ge 0.523 0.532 0.786
O 0.611 0.820 0.155
N 0.150 0.169 0.370
Ge 0.801 0.947 0.205
Ge 0.477 0.532 0.286
N 0.061 0.661 0.897
```

(13)
A plane-wave DFT calculation with PBE was carried out for RbReHAu2 after structural relaxation. Values from VASP.

The space group is P4/mmm, No. 123. For the total DFT energy (no corrections), the calculation gives -16.77 eV for the cell shown. Its density of states at the Fermi level is 2.71 states/eV/f.u.

Quantum ESPRESSO input file:
```
&SYSTEM
  ibrav = 0, nat = 5, ntyp = 4
/
ATOMIC_SPECIES
Au 196.97 Au.upf
Re 186.21 Re.upf
Rb 85.47 Rb.upf
H 1.01 H.upf
CELL_PARAMETERS angstrom
-3.380 0.894 -2.595
-2.824 0.299 3.781
0.879 4.252 0.320
ATOMIC_POSITIONS crystal
Au 0.000 0.000 0.500
Re 0.500 0.500 0.500
Au 0.500 0.000 0.000
Rb 0.000 0.500 0.000
H 0.000 0.000 0.000
```

(14)
A plane-wave DFT calculation with PBE was carried out for ErTmBi2 after structural relaxation. Values from VASP.

The space group is C2/m, No. 12. Its formation energy is -797 meV per atom. The calculation puts the polymorph energy (0 for the lowest one) at 0.5 kJ per mole of atoms. Its density of states at the Fermi level is 0.75 states/eV/f.u.

Quantum ESPRESSO input file:
```
&SYSTEM
  ibrav = 0, nat = 4, ntyp = 3
/
ATOMIC_SPECIES
Bi 208.98 Bi.upf
Tm 168.93 Tm.upf
Er 167.26 Er.upf
CELL_PARAMETERS angstrom
4.437 0.011 0.018
2.204 3.851 0.018
2.193 1.275 7.253
ATOMIC_POSITIONS crystal
Bi 0.750 0.750 0.751
Tm 0.000 0.000 0.000
Bi 0.250 0.250 0.249
Er 0.500 0.500 0.500
```

(15)
A plane-wave DFT calculation with PBE was carried out for ErMgCd14 after structural relaxation. Values from VASP.

The space group is P4/mmm, No. 123. Its formation energy is -67 meV per atom. Its density of states at the Fermi level is 4.61 states/eV/f.u.

Quantum ESPRESSO input file:
```
&SYSTEM
  ibrav = 0, nat = 16, ntyp = 3
/
ATOMIC_SPECIES
Cd 112.41 Cd.upf
Er 167.26 Er.upf
Mg 24.30 Mg.upf
CELL_PARAMETERS angstrom
-2.153 2.003 -5.799
-6.122 -0.304 2.168
0.525 8.183 2.632
ATOMIC_POSITIONS crystal
Cd 0.128 0.622 0.753
Er 0.875 0.875 0.500
Cd 0.622 0.622 0.247
Cd 0.128 0.128 0.753
Cd 0.622 0.622 0.753
Cd 0.128 0.622 0.247
Cd 0.622 0.128 0.247
Cd 0.128 0.128 0.247
Cd 0.875 0.875 0.000
Mg 0.375 0.375 0.500
Cd 0.375 0.375 0.000
Cd 0.622 0.128 0.753
Cd 0.875 0.375 0.000
Cd 0.375 0.875 0.000
Cd 0.375 0.875 0.500
Cd 0.875 0.375 0.500
```

(16)
A plane-wave DFT calculation with PBE was carried out for CdSiSCl2 after structural relaxation. Values from VASP.

The space group is P4/mmm, No. 123. The formation energy (no corrections) comes out at -5.46 kcal/mol of atoms. The calculation puts the polymorph energy (0 for the lowest one) at 0.0 kJ per mole of atoms. Its density of states at the Fermi level is 2.03 states/eV/f.u.

Quantum ESPRESSO input file:
```
&SYSTEM
  ibrav = 0, nat = 5, ntyp = 4
/
ATOMIC_SPECIES
Cd 112.41 Cd.upf
Si 28.09 Si.upf
Cl 35.45 Cl.upf
S 32.06 S.upf
CELL_PARAMETERS angstrom
-2.777 1.141 3.720
-2.923 -3.629 -1.069
2.554 -2.879 2.790
ATOMIC_POSITIONS crystal
Cd 0.500 0.500 0.500
Si 0.000 0.000 0.000
Cl 0.000 0.500 0.000
Cl 0.500 0.000 0.000
S 0.000 0.000 0.500
```

(17)
A plane-wave DFT calculation with PBE was carried out for NbV2In after structural relaxation. Values from VASP.

The space group is I-42d, No. 122. Its formation energy is 725 meV per atom. Its density of states at the Fermi level is 5.13 states/eV/f.u.

Quantum ESPRESSO input file:
```
&SYSTEM
  ibrav = 0, nat = 8, ntyp = 3
/
ATOMIC_SPECIES
V 50.94 V.upf
In 114.82 In.upf
Nb 92.91 Nb.upf
CELL_PARAMETERS angstrom
7.207 0.000 0.000
0.000 7.207 0.000
3.604 3.604 2.783
ATOMIC_POSITIONS crystal
V 0.602 0.125 0.250
V 0.148 0.625 0.250
In 0.000 0.000 0.000
V 0.875 0.852 0.750
In 0.750 0.250 0.500
V 0.375 0.398 0.750
Nb 0.250 0.750 0.500
Nb 0.500 0.500 0.000
```

(18)
A plane-wave DFT calculation with PBE was carried out for KSrU4N8 after structural relaxation. Values from VASP.

The space group is R3m, No. 160. The formation energy (no corrections) comes out at -26.04 kcal/mol of atoms. Its density of states at the Fermi level is 14.13 states/eV/f.u.

Quantum ESPRESSO input file:
```
&SYSTEM
  ibrav = 0, nat = 14, ntyp = 4
/
ATOMIC_SPECIES
K 39.10 K.upf
Sr 87.62 Sr.upf
N 14.01 N.upf
U 238.03 U.upf
CELL_PARAMETERS angstrom
7.005 0.000 0.000
3.503 6.067 0.000
3.503 2.022 6.327
ATOMIC_POSITIONS crystal
K 0.008 0.008 0.977
Sr 0.360 0.360 0.919
N 0.791 0.791 0.626
N 0.225 0.225 0.324
U 0.509 0.004 0.482
U 0.004 0.004 0.482
N 0.302 0.776 0.621
N 0.776 0.302 0.621
N 0.738 0.738 0.312
N 0.302 0.302 0.621
U 0.530 0.530 0.409
N 0.212 0.738 0.312
U 0.004 0.509 0.482
N 0.738 0.212 0.312
```

(19)
A plane-wave DFT calculation with PBE was carried out for Dy4AlCd2In after structural relaxation. Values from VASP.

The space group is R-3m, No. 166. Its formation energy is -384 meV per atom. Its density of states at the Fermi level is 6.69 states/eV/f.u.

Quantum ESPRESSO input file:
```
&SYSTEM
  ibrav = 0, nat = 8, ntyp = 4
/
ATOMIC_SPECIES
Cd 112.41 Cd.upf
Dy 162.50 Dy.upf
In 114.82 In.upf
Al 26.98 Al.upf
CELL_PARAMETERS angstrom
5.246 0.000 0.000
2.623 4.543 0.000
2.623 1.514 8.579
ATOMIC_POSITIONS crystal
Cd 0.250 0.250 0.249
Cd 0.750 0.750 0.751
Dy 0.378 0.378 0.867
In 0.000 0.000 0.000
Dy 0.128 0.128 0.617
Dy 0.872 0.872 0.383
Dy 0.622 0.622 0.133
Al 0.500 0.500 0.500
```

(20)
A plane-wave DFT calculation with PBE was carried out for In2PbAu after structural relaxation. Values from VASP.

The space group is R3m, No. 160. Its formation energy is -37 meV per atom. Its density of states at the Fermi level is 1.64 states/eV/f.u.

Quantum ESPRESSO input file:
```
&SYSTEM
  ibrav = 0, nat = 4, ntyp = 3
/
ATOMIC_SPECIES
In 114.82 In.upf
Au 196.97 Au.upf
Pb 207.20 Pb.upf
CELL_PARAMETERS angstrom
-2.773 5.964 6.295
-4.867 2.959 7.102
-1.361 3.207 8.411
ATOMIC_POSITIONS crystal
In 0.253 0.253 0.253
In 0.011 0.011 0.011
Au 0.746 0.746 0.746
Pb 0.490 0.490 0.490
```